1.
Cs2ScTaRu | PBE-GGA | relaxed

As for the mass density: 4.58 g/cm3. As for the raw total energy: -3.596 eV/atom. The energy of formation from the pure elements is 2.238 eV/atom.

It has space group P4/mmm (No. 123), with a = 6.426 Å, b = 6.426 Å, c = 5.210 Å, α = 90.00°, β = 90.00° and γ = 90.00°. The asymmetric unit holds Cs at (0.000, 0.500, 0.000), Sc at (0.000, 0.000, 0.500), Ta at (0.000, 0.000, 0.000) and Ru at (0.500, 0.500, 0.500).

2.
CsSc2TlRu | PBE-GGA | relaxed

As for the mass density: 5.55 g/cm3. As for the raw total energy: -4.586 eV/atom. The energy of formation from the pure elements is 0.446 eV/atom.

It has space group P4/mmm (No. 123), with a = 5.074 Å, b = 5.074 Å, c = 6.138 Å, α = 90.00°, β = 90.00° and γ = 90.00°. The asymmetric unit holds Cs at (0.000, 0.000, 0.000), Sc at (0.000, 0.500, 0.500), Tl at (0.500, 0.500, 0.000) and Ru at (0.000, 0.000, 0.500).